[1]
# TbSnNO

TbSnNO after structural relaxation (PBE-GGA, OQMD).

Cell lengths 6.8650, 7.0310, 5.6609 Å; angles 90.00, 90.00, 90.00 degrees
Atoms (fractional coordinates):
Tb 0.0919 0.1498 0.0000
Tb 0.4081 0.1498 0.5000
Tb 0.5919 0.8502 0.0000
Tb 0.9081 0.8502 0.5000
Sn 0.1202 0.6693 0.9884
Sn 0.3798 0.6693 0.4884
Sn 0.6202 0.3307 0.9884
Sn 0.8798 0.3307 0.4884
N 0.0873 0.1168 0.5970
N 0.4127 0.1168 0.0970
N 0.5873 0.8832 0.5970
N 0.9127 0.8832 0.0970
O 0.0599 0.4283 0.1945
O 0.4401 0.4283 0.6945
O 0.5599 0.5717 0.1945
O 0.9401 0.5717 0.6945

Its spin magnetization is 0.00 μB per formula unit. The symmetry is Pca2_1 (29). As for the excess energy over the best structure of this formula in the dataset: 1.09 eV/f.u.

=====

[2]
# TcF4

TcF4 after structural relaxation (PBE-GGA, OQMD).

Cell lengths 5.4157, 5.2444, 6.5172 Å; angles 53.51, 51.13, 75.36 degrees
Atoms (fractional coordinates):
Tc 0.0000 0.0000 0.0000
Tc 0.2500 0.2500 0.2500
F 0.2296 0.3268 0.9267
F 0.2332 0.8091 0.4299
F 0.3233 0.7331 0.0204
F 0.3268 0.2296 0.5169
F 0.7222 0.8201 0.4409
F 0.7331 0.3233 0.9232
F 0.8091 0.2332 0.5278
F 0.8201 0.7222 0.0168

Its spin magnetization is 3.00 μB per formula unit. The symmetry is Fdd2 (43). As for the excess energy over the best structure of this formula in the dataset: 0.00 eV/f.u.

=====

[3]
# RbPuOs

RbPuOs after structural relaxation (PBE-GGA, OQMD).

Cell lengths 4.9399, 4.9399, 4.9399 Å; angles 60.00, 60.00, 60.00 degrees
Atoms (fractional coordinates):
Rb 0.0000 0.0000 0.0000
Pu 0.5000 0.5000 0.5000
Os 0.7500 0.7500 0.7500

The value obtained for the total energy is -22.52 eV per formula unit. Its spin magnetization is 4.97 μB per formula unit. The symmetry is F-43m (216).